# GGA-PBE IrWN3, relaxed
# **Total moment**: 0.0 μB per formula unit
# **DOS(E_F)**: 2.64 states/eV per cell
# **Uncorrected energy**: -7.56 eV per atom
data_IrWN3
_chemical_formula_sum 'Ir1 W1 N3'
_cell_length_a 3.824
_cell_length_b 3.824
_cell_length_c 3.824
_cell_angle_alpha 90.00
_cell_angle_beta 90.00
_cell_angle_gamma 90.00
_symmetry_space_group_name_H-M 'P m -3 m'
_symmetry_Int_Tables_number 221
_symmetry_space_group_name_Hall '-P 4 2 3'
loop_
_atom_site_label
_atom_site_fract_x
_atom_site_fract_y
_atom_site_fract_z
Ir1 0.000 0.000 0.000
W1 0.500 0.500 0.500
N1 0.000 0.000 0.500